This record from the Alexandria database describes crystalline Mn2CoH at its relaxed geometry. The functional is PBE.

Summary:
DOS at the Fermi energy = 4.9 states/eV/f.u.
Uncorrected energy = -6.8170 eV/atom

a b c (Å): 2.521 2.521 6.824
angles (deg): 79.36 79.36 60.00
Each line ends with the local moment (μB).
Sites, in units of the cell vectors:
Mn 0.116 0.116 0.652  -0.12
Mn 0.884 0.884 0.348  -0.12
Co 0.000 0.000 0.000  1.47
H 0.500 0.500 0.500  0.00